# TbZn2Ag3 (GGA-PBE, optimized geometry)
# Offset from the most stable computed form   0.000 eV per atom
# Energy of formation   -198 meV per atom
data_TbZn2Ag3
_chemical_formula_sum 'Tb2 Zn4 Ag6'
_cell_length_a 4.6235
_cell_length_b 4.6235
_cell_length_c 12.3860
_cell_angle_alpha 90.00
_cell_angle_beta 90.00
_cell_angle_gamma 120.00
_space_group_name_H-M_alt 'P 63/m m c'
_space_group_IT_number 194
_space_group_name_Hall '-P 6c 2c'
loop_
_atom_site_label
_atom_site_fract_x
_atom_site_fract_y
_atom_site_fract_z
Tb1 0.0000 0.0000 0.2500
Zn1 0.3333 0.6667 0.1207
Ag1 0.0000 0.0000 0.0000
Ag2 0.3333 0.6667 0.6053


# CaHg2 (GGA-PBE, optimized geometry)
# Energy of formation   -397 meV per atom
data_CaHg2
_chemical_formula_sum 'Ca8 Hg16'
_cell_length_a 4.6239
_cell_length_b 4.6239
_cell_length_c 30.2549
_cell_angle_alpha 90.00
_cell_angle_beta 90.00
_cell_angle_gamma 90.00
_space_group_name_H-M_alt 'I 41/a m d'
_space_group_IT_number 141
loop_
_space_group_symop_operation_xyz
'x,y,z'
'-x,-y,-z'
'-y+1/4,x+3/4,z+1/4'
'y+1/4,-x+3/4,-z+1/4'
'-x+1/2,-y,z+1/2'
'x+1/2,y,-z+1/2'
'y+1/4,-x+1/4,z+3/4'
'-y+1/4,x+1/4,-z+3/4'
'x,-y,-z'
'-x,y,z'
'-y+1/4,-x+1/4,-z+3/4'
'y+1/4,x+1/4,z+3/4'
'-x+1/2,y,-z+1/2'
'x+1/2,-y,z+1/2'
'y+1/4,x+3/4,-z+1/4'
'-y+1/4,-x+3/4,z+1/4'
'x+1/2,y+1/2,z+1/2'
'-x+1/2,-y+1/2,-z+1/2'
'-y+3/4,x+1/4,z+3/4'
'y+3/4,-x+1/4,-z+3/4'
'-x,-y+1/2,z'
'x,y+1/2,-z'
'y+3/4,-x+3/4,z+1/4'
'-y+3/4,x+3/4,-z+1/4'
'x+1/2,-y+1/2,-z+1/2'
'-x+1/2,y+1/2,z+1/2'
'-y+3/4,-x+3/4,-z+1/4'
'y+3/4,x+3/4,z+1/4'
'-x,y+1/2,-z'
'x,-y+1/2,z'
'y+3/4,x+1/4,-z+3/4'
'-y+3/4,-x+1/4,z+3/4'
loop_
_atom_site_label
_atom_site_fract_x
_atom_site_fract_y
_atom_site_fract_z
Ca1 0.0000 0.2500 0.2998
Hg1 0.0000 0.2500 0.1251
Hg2 0.0000 0.2500 0.7859


# CeYTc2 (GGA-PBE, optimized geometry)
# Offset from the most stable computed form   0.000 eV per atom
# Energy of formation   19 meV per atom
data_CeYTc2
_chemical_formula_sum 'Ce1 Y1 Tc2'
_cell_length_a 3.4140
_cell_length_b 3.4140
_cell_length_c 6.9421
_cell_angle_alpha 90.00
_cell_angle_beta 90.00
_cell_angle_gamma 90.00
_space_group_name_H-M_alt 'P 4/m m m'
_space_group_IT_number 123
_space_group_name_Hall '-P 4 2'
loop_
_atom_site_label
_atom_site_fract_x
_atom_site_fract_y
_atom_site_fract_z
Ce1 0.0000 0.0000 0.0000
Y1 0.0000 0.0000 0.5000
Tc1 0.5000 0.5000 0.2232


# TaTlP2 (GGA-PBE, optimized geometry)
# Offset from the most stable computed form   0.537 eV per atom
# Energy of formation   336 meV per atom
data_TaTlP2
_chemical_formula_sum 'Ta2 Tl2 P4'
_cell_length_a 3.2045
_cell_length_b 5.9323
_cell_length_c 9.1157
_cell_angle_alpha 90.00
_cell_angle_beta 90.00
_cell_angle_gamma 90.00
_space_group_name_H-M_alt 'I m m m'
_space_group_IT_number 71
_space_group_name_Hall '-I 2 2'
loop_
_atom_site_label
_atom_site_fract_x
_atom_site_fract_y
_atom_site_fract_z
Ta1 0.0000 0.0000 0.0000
Tl1 0.0000 0.0000 0.5000
P1 0.0000 0.5000 0.2971


# TcAs2Se (GGA-PBE, optimized geometry)
# Offset from the most stable computed form   0.163 eV per atom
# Raw formation energy   12.8 kJ/mol of atoms
data_TcAs2Se
_chemical_formula_sum 'Tc1 As2 Se1'
_cell_length_a 3.2244
_cell_length_b 3.2244
_cell_length_c 7.1912
_cell_angle_alpha 90.00
_cell_angle_beta 90.00
_cell_angle_gamma 90.00
_space_group_name_H-M_alt 'P 4 m m'
_space_group_IT_number 99
loop_
_space_group_symop_operation_xyz
'x,y,z'
'-y,x,z'
'-x,-y,z'
'y,-x,z'
'-x,y,z'
'y,x,z'
'x,-y,z'
'-y,-x,z'
loop_
_atom_site_label
_atom_site_fract_x
_atom_site_fract_y
_atom_site_fract_z
Tc1 0.0000 0.0000 0.0000
As1 0.0000 0.0000 0.3973
As2 0.5000 0.5000 0.2064
Se1 0.5000 0.5000 0.7993


# Tl12ZnPb3 (GGA-PBE, optimized geometry)
# Energy of formation   49 meV per atom
data_Tl12ZnPb3
_chemical_formula_sum 'Tl12 Zn1 Pb3'
_cell_length_a 5.2009
_cell_length_b 5.2009
_cell_length_c 17.7491
_cell_angle_alpha 90.00
_cell_angle_beta 90.00
_cell_angle_gamma 90.00
_space_group_name_H-M_alt 'P 4/m m m'
_space_group_IT_number 123
_space_group_name_Hall '-P 4 2'
loop_
_atom_site_label
_atom_site_fract_x
_atom_site_fract_y
_atom_site_fract_z
Tl1 0.0000 0.0000 0.0000
Tl2 0.0000 0.0000 0.2417
Tl3 0.0000 0.0000 0.5000
Tl4 0.0000 0.5000 0.1145
Tl5 0.0000 0.5000 0.3708
Zn1 0.5000 0.5000 0.0000
Pb1 0.5000 0.5000 0.2423
Pb2 0.5000 0.5000 0.5000


DOS at the Fermi energy for every record listed, in sequence, given in states/eV/f.u.: 1.4 2.1 5.7 2.6 2.1 8.1.